Record 1
! DyYCoPd PBE-GGA relaxed; values from VASP
&SYSTEM
  ibrav = 0, nat = 4, ntyp = 4
/
ATOMIC_SPECIES
Pd 106.42 Pd.upf
Co 58.93 Co.upf
Y 88.91 Y.upf
Dy 162.50 Dy.upf
CELL_PARAMETERS angstrom
4.857 0.000 0.000
2.429 4.206 0.000
2.429 1.402 3.966
ATOMIC_POSITIONS crystal
Pd 0.000 0.000 0.000
Co 0.500 0.500 0.500
Y 0.750 0.750 0.750
Dy 0.250 0.250 0.250
! Electronic total energy ... -6.3212 eV/atom
! Magnetization ... 0.16 μB/f.u.
! N(E_F) ... 0.60 states/eV per atom
! Symmetry ... F-43m, No. 216
! Formation energy ... -11.069 kcal/mol of atoms

***

Record 2
! Ti3TcBr PBE-GGA relaxed; values from VASP
&SYSTEM
  ibrav = 0, nat = 5, ntyp = 3
/
ATOMIC_SPECIES
Ti 47.87 Ti.upf
Tc 98.00 Tc.upf
Br 79.90 Br.upf
CELL_PARAMETERS angstrom
4.560 0.000 0.000
0.000 4.560 0.000
0.000 0.000 4.560
ATOMIC_POSITIONS crystal
Ti 0.500 0.000 0.000
Tc 0.500 0.500 0.500
Ti 0.000 0.500 0.000
Br 0.000 0.000 0.000
Ti 0.000 0.000 0.500
! Energy above the lowest structure with this stoichiometry ... 231.9 meV per atom
! Electronic total energy ... -6.3718 eV/atom
! Magnetization ... 0.00 μB/f.u.
! N(E_F) ... 0.97 states/eV per atom
! Symmetry ... Pm-3m, No. 221
! ΔE_f (raw) ... 0.77 eV/atom

***

Record 3
! HoErCoIr PBE-GGA relaxed; values from VASP
&SYSTEM
  ibrav = 0, nat = 4, ntyp = 4
/
ATOMIC_SPECIES
Co 58.93 Co.upf
Er 167.26 Er.upf
Ho 164.93 Ho.upf
Ir 192.22 Ir.upf
CELL_PARAMETERS angstrom
4.764 0.000 0.000
2.382 4.125 0.000
2.382 1.375 3.889
ATOMIC_POSITIONS crystal
Co 0.500 0.500 0.500
Er 0.250 0.250 0.250
Ho 0.750 0.750 0.750
Ir 0.000 0.000 0.000
! Electronic total energy ... -6.8342 eV/atom
! Magnetization ... 0.52 μB/f.u.
! N(E_F) ... 0.36 states/eV per atom
! Symmetry ... F-43m, No. 216
! Formation energy ... -12.852 kcal/mol of atoms

***

Record 4
! PmZn5Au6 PBE-GGA relaxed; values from VASP
&SYSTEM
  ibrav = 0, nat = 12, ntyp = 3
/
ATOMIC_SPECIES
Au 196.97 Au.upf
Zn 65.41 Zn.upf
Pm 145.00 Pm.upf
CELL_PARAMETERS angstrom
-6.883 1.137 3.153
0.120 -0.760 5.304
1.350 5.267 3.432
ATOMIC_POSITIONS crystal
Au 0.701 0.508 0.616
Zn 0.000 0.699 0.603
Au 0.205 0.373 0.000
Zn 0.500 0.887 0.226
Zn 0.000 0.301 0.397
Au 0.299 0.876 0.616
Zn 0.500 0.500 0.000
Pm 0.000 0.000 0.000
Au 0.299 0.492 0.384
Zn 0.500 0.113 0.774
Au 0.795 0.627 0.000
Au 0.701 0.124 0.384
! Energy above the lowest structure with this stoichiometry ... 0.0 meV per atom
! Electronic total energy ... -2.8838 eV/atom
! Magnetization ... 0.00 μB/f.u.
! N(E_F) ... 0.39 states/eV per atom
! Symmetry ... C2/m, No. 12
! Formation energy ... -7.343 kcal/mol of atoms

***

Record 5
! SrYTa2Co PBE-GGA relaxed; values from VASP
&SYSTEM
  ibrav = 0, nat = 5, ntyp = 4
/
ATOMIC_SPECIES
Y 88.91 Y.upf
Co 58.93 Co.upf
Sr 87.62 Sr.upf
Ta 180.95 Ta.upf
CELL_PARAMETERS angstrom
-4.281 0.484 2.283
-1.499 -4.699 -1.814
1.874 -2.129 3.966
ATOMIC_POSITIONS crystal
Y 0.000 0.500 0.000
Co 0.500 0.500 0.500
Sr 0.000 0.000 0.000
Ta 0.000 0.000 0.500
Ta 0.500 0.000 0.000
! Electronic total energy ... -4.9625 eV/atom
! Magnetization ... 0.00 μB/f.u.
! N(E_F) ... 2.54 states/eV per atom
! Symmetry ... P4/mmm, No. 123
! Formation energy ... 65.236 kcal/mol of atoms

***

Record 6
! TaIrSe PBE-GGA relaxed; values from VASP
&SYSTEM
  ibrav = 0, nat = 3, ntyp = 3
/
ATOMIC_SPECIES
Se 78.96 Se.upf
Ir 192.22 Ir.upf
Ta 180.95 Ta.upf
CELL_PARAMETERS angstrom
4.245 0.000 0.000
2.122 3.676 0.000
2.122 1.225 3.466
ATOMIC_POSITIONS crystal
Se 0.250 0.250 0.250
Ir 0.500 0.500 0.500
Ta 0.000 0.000 0.000
! Energy above the lowest structure with this stoichiometry ... 631.6 meV per atom
! Electronic total energy ... -7.6775 eV/atom
! Magnetization ... 0.00 μB/f.u.
! N(E_F) ... 1.62 states/eV per atom
! Symmetry ... F-43m, No. 216
! ΔE_f (raw) ... 0.39 eV/atom